[1]
Hg5Te: optimized geometry, PBE.

a = 3.094 Å, b = 3.094 Å, c = 18.277 Å
α = 90.00°, β = 90.00°, γ = 90.00°
Fractional positions:
1 Hg 0.000 0.000 0.178
2 Hg 0.500 0.500 0.658
3 Te 0.500 0.500 0.000
4 Hg 0.500 0.500 0.342
5 Hg 0.000 0.000 0.500
6 Hg 0.000 0.000 0.822

Properties
Energy above the lowest structure with this stoichiometry: 19.7 meV per atom
Space group: P4/mmm
Total energy: -4.5 eV for the cell shown
Calculated volume: 29.2 A^3/atom



[2]
Hg6Te7: optimized geometry, PBE.

a = 14.164 Å, b = 14.164 Å, c = 14.164 Å
α = 25.05°, β = 25.05°, γ = 25.05°
Fractional positions:
1 Hg 0.039 0.039 0.039
2 Hg 0.154 0.154 0.154
3 Te 0.599 0.098 0.599
4 Te 0.500 0.500 0.500
5 Te 0.401 0.401 0.902
6 Hg 0.657 0.657 0.657
7 Hg 0.343 0.343 0.343
8 Te 0.401 0.902 0.401
9 Te 0.902 0.401 0.401
10 Hg 0.846 0.846 0.846
11 Hg 0.961 0.961 0.961
12 Te 0.098 0.599 0.599
13 Te 0.599 0.599 0.098

Properties
Space group: R-3m
Total energy: -21.8 eV for the cell shown
Calculated volume: 34.5 A^3/atom



[3]
HgTe: optimized geometry, PBE.

a = 6.127 Å, b = 6.127 Å, c = 3.246 Å
α = 90.00°, β = 90.00°, γ = 90.00°
Fractional positions:
1 Te 0.250 0.750 0.000
2 Hg 0.750 0.750 0.001
3 Hg 0.250 0.250 0.999
4 Te 0.750 0.250 0.000

Properties
Space group: P4/nmm
Total energy: -6.8 eV for the cell shown
Calculated volume: 30.5 A^3/atom



[4]
Hg5Te4: optimized geometry, PBE.

a = 8.733 Å, b = 8.733 Å, c = 8.181 Å
α = 90.00°, β = 90.00°, γ = 120.00°
Fractional positions:
1 Te 0.000 0.000 0.500
2 Te 0.000 0.000 0.000
3 Te 0.000 0.425 0.250
4 Hg 0.667 0.333 0.500
5 Te 0.575 0.000 0.750
6 Te 0.000 0.575 0.750
7 Hg 0.746 0.000 0.250
8 Hg 0.333 0.667 0.000
9 Hg 0.667 0.333 0.000
10 Te 0.575 0.575 0.250
11 Hg 0.254 0.000 0.750
12 Te 0.425 0.000 0.250
13 Hg 0.333 0.667 0.500
14 Hg 0.000 0.746 0.250
15 Hg 0.254 0.254 0.250
16 Hg 0.746 0.746 0.750
17 Te 0.425 0.425 0.750
18 Hg 0.000 0.254 0.750

Properties
Energy above the lowest structure with this stoichiometry: 0.0 meV per atom
Space group: P6_3/mcm
Total energy: -27.2 eV for the cell shown
Calculated volume: 30.0 A^3/atom



Look up the calculated volume of the first one. 29.2 A^3/atom



Among the records above, which one has the lowest total energy? Hg5Te4



Look up the calculated volume of the first one. 29.2 A^3/atom